Compound: AsIrPt2
Source: Alexandria
Functional: PBE
Structure: relaxed Values from VASP.

The space group is P4/mmm. The value obtained for the energy of formation from the pure elements is 0.14 eV per atom.

Structure (Quantum ESPRESSO input):
```
&SYSTEM
  ibrav = 0, nat = 4, ntyp = 3
/
ATOMIC_SPECIES
As 74.92 As.upf
Ir 192.22 Ir.upf
Pt 195.08 Pt.upf
CELL_PARAMETERS angstrom
2.894 0.000 0.000
0.000 2.894 0.000
0.000 0.000 7.565
ATOMIC_POSITIONS crystal
As 0.500 0.500 0.250
Ir 0.500 0.500 0.750
Pt 0.000 0.000 0.999
Pt 0.000 0.000 0.501
```

=====

Compound: Sc3AlZn2
Source: Alexandria
Functional: PBE
Structure: relaxed Values from VASP.

The space group is P4/mmm. The value obtained for the energy of formation from the pure elements is -0.40 eV per atom.

Structure (Quantum ESPRESSO input):
```
&SYSTEM
  ibrav = 0, nat = 6, ntyp = 3
/
ATOMIC_SPECIES
Sc 44.96 Sc.upf
Al 26.98 Al.upf
Zn 65.41 Zn.upf
CELL_PARAMETERS angstrom
-0.188 0.940 3.220
-1.123 -3.057 0.826
9.494 -3.094 1.456
ATOMIC_POSITIONS crystal
Sc 0.000 0.000 0.000
Sc 0.000 0.000 0.672
Sc 0.000 0.000 0.328
Al 0.500 0.500 0.500
Zn 0.500 0.500 0.836
Zn 0.500 0.500 0.164
```

=====

Compound: Hf2ScPb
Source: Alexandria
Functional: PBE
Structure: relaxed Values from VASP.

The space group is P2_1/m. The value obtained for the energy of formation from the pure elements is -0.25 eV per atom.

Structure (Quantum ESPRESSO input):
```
&SYSTEM
  ibrav = 0, nat = 8, ntyp = 3
/
ATOMIC_SPECIES
Hf 178.49 Hf.upf
Sc 44.96 Sc.upf
Pb 207.20 Pb.upf
CELL_PARAMETERS angstrom
4.317 0.000 0.000
0.000 4.237 -0.840
0.000 -0.108 10.539
ATOMIC_POSITIONS crystal
Hf 0.750 0.446 0.892
Hf 0.250 0.554 0.108
Hf 0.250 0.948 0.896
Hf 0.750 0.052 0.104
Sc 0.250 0.313 0.626
Sc 0.750 0.687 0.374
Pb 0.750 0.833 0.665
Pb 0.250 0.167 0.335
```

=====

Compound: Ta2Ir
Source: Alexandria
Functional: PBE
Structure: relaxed Values from VASP.

The space group is I4_1/amd. The value obtained for the energy of formation from the pure elements is -0.14 eV per atom.

Structure (Quantum ESPRESSO input):
```
&SYSTEM
  ibrav = 0, nat = 6, ntyp = 2
/
ATOMIC_SPECIES
Ta 180.95 Ta.upf
Ir 192.22 Ir.upf
CELL_PARAMETERS angstrom
-11.305 3.854 4.748
-12.596 0.766 2.440
12.178 -3.580 -2.023
ATOMIC_POSITIONS crystal
Ta 0.576 0.576 0.000
Ta 0.424 0.424 0.000
Ta 0.326 0.826 0.500
Ta 0.174 0.674 0.500
Ir 0.750 0.250 0.500
Ir 0.000 0.000 0.000
```

=====

no.,size of the total moment (μB/f.u.)
1,0.00
2,0.00
3,0.00
4,0.00